A relaxed structure of PmHI, computed with PBE-GGA.

a = 3.537 Å, b = 3.650 Å, c = 5.595 Å
α = 71.02°, β = 89.83°, γ = 89.97°
Space group P1 (No. 1)
Unique sites:
Pm 0.000 0.000 0.000
H 0.501 0.549 0.905
I 0.497 0.286 0.429

## Properties
Calculated density: 6.64 g/cm3
N(E_F): 1.2 states/eV/cell
Uncorrected energy: -3.78 eV/atom
Energy above the lowest structure with this stoichiometry: 477 meV/atom